P | First-principles (PBE-GGA) data for a geometry-optimized Gd2CuAg structure, as listed in Alexandria via LeMat-Bulk.

Cell: 5.0948 5.0948 5.0948 Å, 60.00 60.00 60.00°
Closest atoms and distances in Å follow each position.
Positions (direct):
Gd: 0.2500 0.2500 0.2500  4 Cu 3.12, 4 Ag 3.12
Gd: 0.7500 0.7500 0.7500  4 Cu 3.12, 4 Ag 3.12
Cu: 0.0000 0.0000 0.0000  8 Gd 3.12
Ag: 0.5000 0.5000 0.5000  8 Gd 3.12

Results
V (Å³/atom): 23.38
Crystal system: cubic
DOS(E_F) (states/eV/f.u.): 3.2
M_tot (μB per formula unit): 14.4

---

Q | First-principles (PBE-GGA) data for a geometry-optimized Gd2CuAg structure, as listed in Alexandria via LeMat-Bulk.

Cell: 3.5859 3.5859 7.2228 Å, 90.00 90.00 90.00°
Closest atoms and distances in Å follow each position.
Positions (direct):
Gd: 0.0000 0.0000 0.2357  4 Cu 3.05, 4 Ag 3.17, 1 Gd 3.40
Gd: 0.0000 0.0000 0.7643  4 Cu 3.05, 4 Ag 3.17, 1 Gd 3.40
Cu: 0.5000 0.5000 0.0000  8 Gd 3.05
Ag: 0.5000 0.5000 0.5000  8 Gd 3.17

Results
V (Å³/atom): 23.22
Crystal system: tetragonal
DOS(E_F) (states/eV/f.u.): 2.8
M_tot (μB per formula unit): 14.4

---

Order of stability, best first: Q, P

---

P | First-principles (PBE-GGA) data for a geometry-optimized CuAgGe2 structure, as listed in Alexandria via LeMat-Bulk.

Cell: 4.5998 4.5998 4.5998 Å, 60.00 60.00 60.00°
Closest atoms and distances in Å follow each position.
Positions (direct):
Cu: 0.0000 0.0000 0.0000  8 Ge 2.82
Ag: 0.5000 0.5000 0.5000  8 Ge 2.82
Ge: 0.2500 0.2500 0.2500  4 Ag 2.82, 4 Cu 2.82
Ge: 0.7500 0.7500 0.7500  4 Ag 2.82, 4 Cu 2.82

Results
V (Å³/atom): 17.20
Crystal system: cubic
DOS(E_F) (states/eV/f.u.): 1.1
M_tot (μB per formula unit): 0.0

---

Q | First-principles (PBE-GGA) data for a geometry-optimized CuAgGe2 structure, as listed in Alexandria via LeMat-Bulk.

Cell: 9.0238 9.0238 9.0238 Å, 153.81 153.81 37.38°
Closest atoms and distances in Å follow each position.
Positions (direct):
Cu: 0.0000 0.0000 0.0000  4 Ge 2.54
Cu: 0.7500 0.2500 0.5000  4 Ge 2.54
Ag: 0.2500 0.7500 0.5000  4 Ge 2.63, 4 Cu 2.89
Ag: 0.5000 0.5000 0.0000  4 Ge 2.63, 4 Cu 2.89
Ge: 0.0970 0.6250 0.9720  2 Cu 2.54, 2 Ag 2.63, 2 Ge 2.73
Ge: 0.3750 0.3470 0.4720  2 Cu 2.54, 2 Ag 2.63, 2 Ge 2.73
Ge: 0.6530 0.1250 0.0280  2 Cu 2.54, 2 Ag 2.63, 2 Ge 2.73
Ge: 0.8750 0.9030 0.5280  2 Cu 2.54, 2 Ag 2.63, 2 Ge 2.73

Results
V (Å³/atom): 17.87
Crystal system: tetragonal
DOS(E_F) (states/eV/f.u.): 1.6
M_tot (μB per formula unit): 0.0

---

R | First-principles (PBE-GGA) data for a geometry-optimized CuAgGe2 structure, as listed in Alexandria via LeMat-Bulk.

Cell: 9.1360 9.1360 9.1360 Å, 19.03 19.03 19.03°
Closest atoms and distances in Å follow each position.
Positions (direct):
Cu: 0.0000 0.0000 0.0000  6 Ge 2.56
Ag: 0.5000 0.5000 0.5000  2 Ge 2.60
Ge: 0.4032 0.4032 0.4032  3 Cu 2.56, 1 Ag 2.60
Ge: 0.5968 0.5968 0.5968  3 Cu 2.56, 1 Ag 2.60

Results
V (Å³/atom): 17.72
Crystal system: trigonal
DOS(E_F) (states/eV/f.u.): 1.6
M_tot (μB per formula unit): 0.0

---

S | First-principles (PBE-GGA) data for a geometry-optimized CuAgGe2 structure, as listed in Alexandria via LeMat-Bulk.

Cell: 5.4449 5.4449 5.4449 Å, 44.68 44.68 44.68°
Closest atoms and distances in Å follow each position.
Positions (direct):
Cu: 0.0000 0.0000 0.0000  6 Ge 2.52-2.62, 1 Ag 2.71
Ag: 0.8153 0.8153 0.8153  1 Cu 2.71, 6 Ge 2.76-2.90
Ge: 0.3881 0.3881 0.3881  3 Cu 2.52, 3 Ag 2.76
Ge: 0.5940 0.5940 0.5940  3 Cu 2.62, 3 Ag 2.90

Results
V (Å³/atom): 18.15
Crystal system: trigonal
DOS(E_F) (states/eV/f.u.): 1.4
M_tot (μB per formula unit): 0.0

---

Order of stability, best first: S, R, Q, P

---

P | First-principles (PBE-GGA) data for a geometry-optimized CuAgGe structure, as listed in Alexandria via LeMat-Bulk.

Cell: 3.9706 3.9706 6.3069 Å, 90.00 90.00 90.00°
Closest atoms and distances in Å follow each position.
Positions (direct):
Cu: 0.2500 0.7500 0.0000  4 Ge 2.59, 4 Ag 2.79, 4 Cu 2.81
Cu: 0.7500 0.2500 0.0000  4 Ge 2.59, 4 Ag 2.79, 4 Cu 2.81
Ag: 0.2500 0.2500 0.3109  5 Ge 2.68-2.82, 4 Cu 2.79
Ag: 0.7500 0.7500 0.6891  5 Ge 2.68-2.82, 4 Cu 2.79
Ge: 0.2500 0.2500 0.7357  4 Cu 2.59, 5 Ag 2.68-2.82
Ge: 0.7500 0.7500 0.2643  4 Cu 2.59, 5 Ag 2.68-2.82

Results
V (Å³/atom): 16.57
Crystal system: tetragonal
DOS(E_F) (states/eV/f.u.): 1.2
M_tot (μB per formula unit): 0.0

---

Q | First-principles (PBE-GGA) data for a geometry-optimized CuAgGe structure, as listed in Alexandria via LeMat-Bulk.

Cell: 2.9579 2.9579 6.4288 Å, 90.00 90.00 120.00°
Closest atoms and distances in Å follow each position.
Positions (direct):
Cu: 0.0000 0.0000 0.0000  3 Ge 2.57, 3 Ag 2.73
Ag: 0.3333 0.6667 0.6684  3 Cu 2.73, 3 Ge 2.92, 6 Ag 2.96
Ge: 0.6667 0.3333 0.2997  3 Cu 2.57

Results
V (Å³/atom): 16.24
Crystal system: trigonal
DOS(E_F) (states/eV/f.u.): 1.2
M_tot (μB per formula unit): 0.0

---

R | First-principles (PBE-GGA) data for a geometry-optimized CuAgGe structure, as listed in Alexandria via LeMat-Bulk.

Cell: 3.3819 3.3819 8.4256 Å, 90.00 90.00 90.00°
Closest atoms and distances in Å follow each position.
Positions (direct):
Cu: 0.2500 0.2500 0.0730  5 Ge 2.48-2.70, 4 Cu 2.69, 1 Ag 2.77
Cu: 0.7500 0.7500 0.9270  5 Ge 2.48-2.70, 4 Cu 2.69, 1 Ag 2.77
Ag: 0.2500 0.2500 0.4019  1 Cu 2.77, 4 Ge 2.83, 4 Ag 2.91
Ag: 0.7500 0.7500 0.5981  1 Cu 2.77, 4 Ge 2.83, 4 Ag 2.91
Ge: 0.2500 0.2500 0.7786  5 Cu 2.48-2.70
Ge: 0.7500 0.7500 0.2214  5 Cu 2.48-2.70

Results
V (Å³/atom): 16.06
Crystal system: tetragonal
DOS(E_F) (states/eV/f.u.): 1.2
M_tot (μB per formula unit): 0.0

---

Order of stability, best first: P, R, Q

---

P | First-principles (PBE-GGA) data for a geometry-optimized Cu2AgGe2 structure, as listed in Alexandria via LeMat-Bulk.

Cell: 6.5422 6.5422 6.5422 Å, 147.06 147.06 47.27°
Closest atoms and distances in Å follow each position.
Positions (direct):
Cu: 0.1011 0.1011 0.0000  1 Cu 2.42, 4 Ge 2.57
Cu: 0.8989 0.8989 0.0000  1 Cu 2.42, 4 Ge 2.57
Ag: 0.5000 0.5000 0.0000  8 Cu 2.89
Ge: 0.2500 0.7500 0.5000  4 Cu 2.57, 4 Ge 2.62
Ge: 0.7500 0.2500 0.5000  4 Cu 2.57, 4 Ge 2.62

Results
V (Å³/atom): 16.49
Crystal system: tetragonal
DOS(E_F) (states/eV/f.u.): 1.9
M_tot (μB per formula unit): 0.0

---

Q | First-principles (PBE-GGA) data for a geometry-optimized Cu2AgGe2 structure, as listed in Alexandria via LeMat-Bulk.

Cell: 6.1445 6.1445 6.1445 Å, 142.99 142.99 53.34°
Closest atoms and distances in Å follow each position.
Positions (direct):
Cu: 0.2500 0.7500 0.5000  4 Ge 2.48, 4 Cu 2.76
Cu: 0.7500 0.2500 0.5000  4 Ge 2.48, 4 Cu 2.76
Ag: 0.0000 0.0000 0.0000  8 Ge 3.02, 8 Cu 3.37
Ge: 0.3888 0.3888 0.0000  1 Ge 2.44, 4 Cu 2.48
Ge: 0.6112 0.6112 0.0000  1 Ge 2.44, 4 Cu 2.48

Results
V (Å³/atom): 16.71
Crystal system: tetragonal
DOS(E_F) (states/eV/f.u.): 2.4
M_tot (μB per formula unit): 0.0

---

Order of stability, best first: Q, P

---

P | First-principles (PBE-GGA) data for a geometry-optimized CuAg3Ge structure, as listed in Alexandria via LeMat-Bulk.

Cell: 4.8639 4.8639 4.8639 Å, 90.00 90.00 90.00°
Closest atoms and distances in Å follow each position.
Positions (direct):
Cu: 0.0000 0.0000 0.0000  12 Ag 3.44
Ag: 0.0000 0.5000 0.5000  2 Ge 2.43
Ag: 0.5000 0.0000 0.5000  2 Ge 2.43
Ag: 0.5000 0.5000 0.0000  2 Ge 2.43
Ge: 0.5000 0.5000 0.5000  6 Ag 2.43

Results
V (Å³/atom): 23.01
Crystal system: cubic
DOS(E_F) (states/eV/f.u.): 1.7
M_tot (μB per formula unit): 0.0

---

Q | First-principles (PBE-GGA) data for a geometry-optimized CuAg3Ge structure, as listed in Alexandria via LeMat-Bulk.

Cell: 4.7868 4.7868 4.7868 Å, 90.00 90.00 90.00°
Closest atoms and distances in Å follow each position.
Positions (direct):
Cu: 0.0000 0.0000 0.0000  6 Ag 2.39
Ag: 0.0000 0.0000 0.5000  2 Cu 2.39
Ag: 0.0000 0.5000 0.0000  2 Cu 2.39
Ag: 0.5000 0.0000 0.0000  2 Cu 2.39
Ge: 0.5000 0.5000 0.5000  12 Ag 3.38

Results
V (Å³/atom): 21.94
Crystal system: cubic
DOS(E_F) (states/eV/f.u.): 1.8
M_tot (μB per formula unit): 0.0

---

Order of stability, best first: Q, P

---

P | First-principles (PBE-GGA) data for a geometry-optimized CuAg2H structure, as listed in Alexandria via LeMat-Bulk.

Cell: 4.2958 4.2958 4.2958 Å, 60.00 60.00 60.00°
Closest atoms and distances in Å follow each position.
Positions (direct):
Cu: 0.0000 0.0000 0.0000  8 Ag 2.63
Ag: 0.2500 0.2500 0.2500  4 H 2.63, 4 Cu 2.63
Ag: 0.7500 0.7500 0.7500  4 H 2.63, 4 Cu 2.63
H: 0.5000 0.5000 0.5000  8 Ag 2.63

Results
V (Å³/atom): 14.01
Crystal system: cubic
DOS(E_F) (states/eV/f.u.): 1.3
M_tot (μB per formula unit): 0.0

---

Q | First-principles (PBE-GGA) data for a geometry-optimized CuAg2H structure, as listed in Alexandria via LeMat-Bulk.

Cell: 5.1826 5.1826 5.1826 Å, 106.81 106.81 114.93°
Closest atoms and distances in Å follow each position.
Positions (direct):
Cu: 0.0000 0.0000 0.0000  8 Ag 2.71-2.78, 2 H 2.79
Cu: 0.7500 0.2500 0.5000  8 Ag 2.71-2.78, 2 H 2.79
Ag: 0.2163 0.6250 0.0913  2 H 1.96
Ag: 0.3750 0.4663 0.5913  2 H 1.96
Ag: 0.5337 0.1250 0.9087  2 H 1.96
Ag: 0.8750 0.7837 0.4087  2 H 1.96
H: 0.2500 0.7500 0.5000  4 Ag 1.96
H: 0.5000 0.5000 0.0000  4 Ag 1.96

Results
V (Å³/atom): 13.30
Crystal system: tetragonal
DOS(E_F) (states/eV/f.u.): 0.5
M_tot (μB per formula unit): 0.0

---

Order of stability, best first: Q, P

---

P | First-principles (PBE-GGA) data for a geometry-optimized Cu2AgH2 structure, as listed in Alexandria via LeMat-Bulk.

Cell: 5.4647 5.4647 5.4647 Å, 146.64 146.64 47.89°
Closest atoms and distances in Å follow each position.
Positions (direct):
Cu: 0.1681 0.1681 0.0000  4 H 1.77
Cu: 0.8319 0.8319 0.0000  4 H 1.77
Ag: 0.5000 0.5000 0.0000  8 Cu 2.78, 8 H 2.95
H: 0.2500 0.7500 0.5000  4 Cu 1.77
H: 0.7500 0.2500 0.5000  4 Cu 1.77

Results
V (Å³/atom): 9.83
Crystal system: tetragonal
DOS(E_F) (states/eV/f.u.): 0.8
M_tot (μB per formula unit): 0.0

---

Q | First-principles (PBE-GGA) data for a geometry-optimized Cu2AgH2 structure, as listed in Alexandria via LeMat-Bulk.

Cell: 5.6785 5.6785 3.3693 Å, 90.00 90.00 90.00°
Closest atoms and distances in Å follow each position.
Positions (direct):
Cu: 0.1736 0.3264 0.0000  2 H 1.69
Cu: 0.3264 0.8264 0.0000  2 H 1.69
Cu: 0.6736 0.1736 0.0000  2 H 1.69
Cu: 0.8264 0.6736 0.0000  2 H 1.69
Ag: 0.0000 0.0000 0.5000  4 H 2.13
Ag: 0.5000 0.5000 0.5000  4 H 2.13
H: 0.1613 0.3387 0.5000  2 Cu 1.69
H: 0.3387 0.8387 0.5000  2 Cu 1.69
H: 0.6613 0.1613 0.5000  2 Cu 1.69
H: 0.8387 0.6613 0.5000  2 Cu 1.69

Results
V (Å³/atom): 10.86
Crystal system: tetragonal
DOS(E_F) (states/eV/f.u.): 0.9
M_tot (μB per formula unit): 0.0

---

Order of stability, best first: P, Q

---

P | First-principles (PBE-GGA) data for a geometry-optimized CuAgH2 structure, as listed in Alexandria via LeMat-Bulk.

Cell: 5.2883 5.2883 5.2883 Å, 32.94 32.94 32.94°
Closest atoms and distances in Å follow each position.
Positions (direct):
Cu: 0.0000 0.0000 0.0000  6 H 1.87
Ag: 0.5000 0.5000 0.5000  2 H 1.79
H: 0.3807 0.3807 0.3807  1 Ag 1.79, 3 Cu 1.87
H: 0.6193 0.6193 0.6193  1 Ag 1.79, 3 Cu 1.87

Results
V (Å³/atom): 9.73
Crystal system: trigonal
DOS(E_F) (states/eV/f.u.): 0.9
M_tot (μB per formula unit): 0.0

---

Q | First-principles (PBE-GGA) data for a geometry-optimized CuAgH2 structure, as listed in Alexandria via LeMat-Bulk.

Cell: 3.7562 3.7562 3.7562 Å, 60.00 60.00 60.00°
Closest atoms and distances in Å follow each position.
Positions (direct):
Cu: 0.0000 0.0000 0.0000  8 H 2.30
Ag: 0.5000 0.5000 0.5000  8 H 2.30
H: 0.2500 0.2500 0.2500  4 Cu 2.30, 4 Ag 2.30
H: 0.7500 0.7500 0.7500  4 Cu 2.30, 4 Ag 2.30

Results
V (Å³/atom): 9.37
Crystal system: cubic
DOS(E_F) (states/eV/f.u.): 0.4
M_tot (μB per formula unit): 0.0

---

R | First-principles (PBE-GGA) data for a geometry-optimized CuAgH2 structure, as listed in Alexandria via LeMat-Bulk.

Cell: 5.2196 5.2196 5.2196 Å, 131.24 131.24 71.43°
Closest atoms and distances in Å follow each position.
Positions (direct):
Cu: 0.0000 0.0000 0.0000  4 H 1.73
Cu: 0.7500 0.2500 0.5000  4 H 1.73
Ag: 0.2500 0.7500 0.5000  4 H 2.00
Ag: 0.5000 0.5000 0.0000  4 H 2.00
H: 0.0711 0.6250 0.9461  2 Cu 1.73
H: 0.3750 0.3211 0.4461  2 Cu 1.73
H: 0.6789 0.1250 0.0539  2 Cu 1.73
H: 0.8750 0.9289 0.5539  2 Cu 1.73

Results
V (Å³/atom): 9.84
Crystal system: tetragonal
DOS(E_F) (states/eV/f.u.): 0.0
M_tot (μB per formula unit): 0.0

---

Order of stability, best first: R, P, Q